DFT (PBE) results for a relaxed structure of Ac2Mg3Ag.

Cell: 6.2341 6.2341 6.2341 Å, 60.21 60.21 60.21°
Positions (direct):
Ac: 0.1258 0.1258 0.1258
Ac: 0.8742 0.8742 0.8742
Mg: 0.0000 0.5000 0.5000
Mg: 0.5000 0.0000 0.5000
Mg: 0.5000 0.5000 0.0000
Ag: 0.5000 0.5000 0.5000

DOS(E_F), states/eV per cell: 5.8
Formation enthalpy at 0 K, eV per formula unit: -0.90
ρ, g cm⁻³: 6.1
Crystal system: trigonal
Raw total energy, eV/cell: -16.76
Energy above the lowest structure with this stoichiometry, meV per atom: 0


DFT (PBE) results for a relaxed structure of LaMg2Pd.

Cell: 4.1922 4.1922 23.2000 Å, 90.00 90.00 90.00°
Positions (direct):
La: 0.0000 0.0000 0.0000
La: 0.0000 0.5000 0.2500
La: 0.5000 0.0000 0.7500
La: 0.5000 0.5000 0.5000
Mg: 0.2300 0.2500 0.6250
Mg: 0.2500 0.7300 0.8750
Mg: 0.2500 0.7700 0.3750
Mg: 0.2700 0.2500 0.1250
Mg: 0.7300 0.7500 0.1250
Mg: 0.7500 0.2300 0.3750
Mg: 0.7500 0.2700 0.8750
Mg: 0.7700 0.7500 0.6250
Pd: 0.0000 0.0000 0.5000
Pd: 0.0000 0.5000 0.7500
Pd: 0.5000 0.0000 0.2500
Pd: 0.5000 0.5000 0.0000

DOS(E_F), states/eV per cell: 9.4
Formation enthalpy at 0 K, eV per formula unit: -0.69
ρ, g cm⁻³: 4.8
Crystal system: tetragonal
Raw total energy, eV/cell: -56.01


DFT (PBE) results for a relaxed structure of Y6HgTe5.

Cell: 7.5675 7.5675 7.5554 Å, 99.59 99.59 119.85°
Positions (direct):
Y: 0.0787 0.3990 0.7388
Y: 0.2363 0.2363 0.2544
Y: 0.3990 0.0787 0.7388
Y: 0.6010 0.9213 0.2612
Y: 0.7637 0.7637 0.7456
Y: 0.9213 0.6010 0.2612
Hg: 0.0000 0.0000 0.5000
Te: 0.1738 0.8262 0.0000
Te: 0.3355 0.6645 0.5000
Te: 0.5000 0.5000 0.0000
Te: 0.6645 0.3355 0.5000
Te: 0.8262 0.1738 0.0000

DOS(E_F), states/eV per cell: 4.1
ρ, g cm⁻³: 6.4
Crystal system: monoclinic
Raw formation energy, meV per atom: -1212
Raw total energy, eV/cell: -69.34